Below is an optimized crystal structure of RbBi2Rh, with properties calculated at the PBE-GGA level.

Geometry as extended XYZ:
```
4
Lattice="-1.167 3.877 1.569 -1.890 0.285 3.899 6.218 2.168 5.275" Properties=species:S:1:pos:R:3 pbc="T T T"
Rb 1.624 3.170 5.392
Bi 5.142 2.052 4.761
Bi 0.060 1.504 2.337
Rh 4.133 4.938 8.898
```

- calculated formation energy (kJ per mole of atoms) = -19.8
- DOS at the Fermi energy (states/eV per cell) = 2.1
- crystal system = trigonal
- M_tot (μB per cell) = 0.0
- space group = R3m (160)



Below is an optimized crystal structure of RbBi12Rh4, with properties calculated at the PBE-GGA level.

Geometry as extended XYZ:
```
17
Lattice="-7.264 -3.698 2.540 4.127 -5.214 -5.355 4.921 1.574 6.798" Properties=species:S:1:pos:R:3 pbc="T T T"
Rb 0.000 0.000 0.000
Bi -3.816 -4.594 1.533
Bi 0.385 -3.610 -0.725
Bi -2.051 -2.832 5.716
Bi 2.405 -0.869 5.611
Bi 3.834 -4.507 -1.733
Bi 1.398 -3.729 4.707
Bi -1.299 -2.150 2.719
Bi 3.082 -5.189 1.263
Bi -0.621 -6.470 -1.628
Bi -0.913 -5.762 1.996
Bi 2.697 -1.577 1.987
Bi 5.600 -2.745 2.450
Rh 2.064 -2.607 -2.677
Rh -3.632 -1.849 1.270
Rh 0.892 -3.669 1.991
Rh 2.460 0.787 3.399
```

- calculated formation energy (kJ per mole of atoms) = -19.9
- DOS at the Fermi energy (states/eV per cell) = 5.2
- crystal system = cubic
- M_tot (μB per cell) = 0.0
- space group = Im-3 (204)



Below is an optimized crystal structure of RbBi2Rh, with properties calculated at the PBE-GGA level.

Geometry as extended XYZ:
```
4
Lattice="-1.474 3.141 -0.412 -2.818 -1.093 1.753 3.827 2.834 7.919" Properties=species:S:1:pos:R:3 pbc="T T T"
Rh -2.146 1.024 0.671
Bi 3.150 2.333 6.519
Bi 0.677 0.501 1.400
Rb -0.233 2.441 4.630
```

- calculated formation energy (kJ per mole of atoms) = -11.7
- DOS at the Fermi energy (states/eV per cell) = 1.5
- crystal system = tetragonal
- M_tot (μB per cell) = 0.0
- space group = P4/mmm (123)



Below is an optimized crystal structure of RbBi2Rh2, with properties calculated at the PBE-GGA level.

Geometry as extended XYZ:
```
5
Lattice="-3.536 -2.137 1.204 0.483 -2.678 -3.334 2.757 -7.044 3.280" Properties=species:S:1:pos:R:3 pbc="T T T"
Rh -1.152 -5.794 1.710
Rh 0.857 -6.065 -0.559
Bi -0.283 -3.753 0.196
Bi -0.012 -8.106 0.955
Rb 0.000 0.000 0.000
```

- calculated formation energy (kJ per mole of atoms) = -23.4
- DOS at the Fermi energy (states/eV per cell) = 2.2
- crystal system = tetragonal
- M_tot (μB per cell) = 0.0
- space group = I4/mmm (139)



Below is an optimized crystal structure of RbBiRh3, with properties calculated at the PBE-GGA level.

Geometry as extended XYZ:
```
5
Lattice="-3.273 3.895 -0.658 -3.543 -2.517 2.727 1.747 2.194 4.296" Properties=species:S:1:pos:R:3 pbc="T T T"
Rh -1.772 -1.258 1.363
Rh 0.874 1.097 2.148
Rh -1.637 1.948 -0.329
Bi 0.000 0.000 0.000
Rb -2.535 1.787 3.182
```

- calculated formation energy (kJ per mole of atoms) = 85.2
- DOS at the Fermi energy (states/eV per cell) = 6.2
- crystal system = cubic
- M_tot (μB per cell) = 0.6
- space group = Pm-3m (221)



Below is an optimized crystal structure of RbSn2BiRh, with properties calculated at the PBE-GGA level.

Geometry as extended XYZ:
```
5
Lattice="-0.396 4.255 -2.860 -2.456 -3.199 -4.419 -4.672 0.882 1.958" Properties=species:S:1:pos:R:3 pbc="T T T"
Rh 0.000 0.000 0.000
Bi -3.762 0.969 -2.660
Rb -1.228 -1.599 -2.209
Sn -2.336 0.441 0.979
Sn -0.198 2.127 -1.430
```

- calculated formation energy (kJ per mole of atoms) = 8.7
- DOS at the Fermi energy (states/eV per cell) = 3.9
- crystal system = tetragonal
- M_tot (μB per cell) = 0.0
- space group = P4/mmm (123)



Below is an optimized crystal structure of RbTc2BiRh, with properties calculated at the PBE-GGA level.

Geometry as extended XYZ:
```
5
Lattice="4.626 0.000 0.000 0.000 5.675 0.000 0.000 0.000 4.626" Properties=species:S:1:pos:R:3 pbc="T T T"
Rh 2.313 2.837 2.313
Bi 0.000 2.837 0.000
Rb 0.000 0.000 0.000
Tc 0.000 0.000 2.313
Tc 2.313 0.000 0.000
```

- calculated formation energy (kJ per mole of atoms) = 296.8
- DOS at the Fermi energy (states/eV per cell) = 8.0
- crystal system = tetragonal
- M_tot (μB per cell) = 0.0
- space group = P4/mmm (123)



Below is an optimized crystal structure of RbBi2Ru, with properties calculated at the PBE-GGA level.

Geometry as extended XYZ:
```
8
Lattice="-3.928 4.763 -5.531 -5.911 1.610 5.584 -2.584 6.779 1.462" Properties=species:S:1:pos:R:3 pbc="T T T"
Ru 0.000 0.000 0.000
Ru -5.716 7.365 -2.021
Bi -4.286 5.414 -3.022
Bi -4.385 2.755 3.793
Bi -4.956 7.291 0.482
Bi -11.218 10.844 1.777
Rb -4.919 3.187 0.026
Rb -6.707 5.788 3.536
```

- calculated formation energy (kJ per mole of atoms) = 27.3
- DOS at the Fermi energy (states/eV per cell) = 6.7
- crystal system = tetragonal
- M_tot (μB per cell) = 0.0
- space group = I-42d (122)



Below is an optimized crystal structure of Rb3BiRu, with properties calculated at the PBE-GGA level.

Geometry as extended XYZ:
```
5
Lattice="-4.510 3.451 -2.855 -0.829 -4.625 -4.281 -4.401 -2.665 3.732" Properties=species:S:1:pos:R:3 pbc="T T T"
Ru 0.000 0.000 0.000
Bi -4.870 -1.920 -1.702
Rb -0.414 -2.313 -2.140
Rb -2.201 -1.333 1.866
Rb -2.255 1.725 -1.428
```

- calculated formation energy (kJ per mole of atoms) = 89.8
- DOS at the Fermi energy (states/eV per cell) = 3.9
- crystal system = cubic
- M_tot (μB per cell) = 4.0
- space group = Pm-3m (221)



Below is an optimized crystal structure of Rb2Bi2Ru, with properties calculated at the PBE-GGA level.

Geometry as extended XYZ:
```
10
Lattice="-6.211 -3.718 0.544 3.397 -5.107 3.882 -1.390 3.095 5.288" Properties=species:S:1:pos:R:3 pbc="T T T"
Ru 0.000 0.000 0.000
Ru -1.407 -4.412 2.213
Bi 0.725 -5.607 3.473
Bi -3.033 -6.485 2.999
Bi -3.539 -3.218 0.953
Bi 0.219 -2.340 1.427
Rb 0.511 -2.549 5.359
Rb -2.084 -5.175 6.214
Rb -4.715 -3.181 4.354
Rb -2.120 -0.554 3.499
```

- calculated formation energy (kJ per mole of atoms) = 8.2
- DOS at the Fermi energy (states/eV per cell) = 0.0
- crystal system = tetragonal
- M_tot (μB per cell) = 0.0
- space group = P4/mbm (127)



Below is an optimized crystal structure of RbBiRu3, with properties calculated at the PBE-GGA level.

Geometry as extended XYZ:
```
5
Lattice="5.157 0.000 0.000 0.000 5.157 0.000 0.000 0.000 5.157" Properties=species:S:1:pos:R:3 pbc="T T T"
Ru 0.000 2.579 0.000
Ru 0.000 0.000 2.579
Ru 2.579 0.000 0.000
Bi 0.000 0.000 0.000
Rb 2.579 2.579 2.579
```

- calculated formation energy (kJ per mole of atoms) = 168.1
- DOS at the Fermi energy (states/eV per cell) = 5.8
- crystal system = cubic
- M_tot (μB per cell) = 3.8
- space group = Pm-3m (221)



Below is an optimized crystal structure of RbBiRu, with properties calculated at the PBE-GGA level.

Geometry as extended XYZ:
```
6
Lattice="4.636 0.000 0.000 0.000 4.636 0.000 0.000 0.000 8.774" Properties=species:S:1:pos:R:3 pbc="T T T"
Ru 0.000 0.000 4.387
Ru 2.318 2.318 4.387
Bi 0.000 2.318 2.975
Bi 2.318 0.000 5.798
Rb 0.000 2.318 7.285
Rb 2.318 0.000 1.489
```

- calculated formation energy (kJ per mole of atoms) = 8.4
- DOS at the Fermi energy (states/eV per cell) = 0.9
- crystal system = tetragonal
- M_tot (μB per cell) = 0.0
- space group = P4/nmm (129)